Below is Tb3Pr4HoTe8 after structural relaxation, with properties calculated at the GGA-PBE level.

Values from the calculation:
Energy relative to the elements, uncorrected, eV/atom: -1.37

```
Tb3Pr4HoTe8
1.0
8.796 0.000 0.000
0.000 8.999 0.137
-4.398 -4.394 6.223
Pr Ho Te Tb
4 1 8 3
Direct
0.500 0.000 0.500 Pr
0.500 0.000 0.000 Pr
0.000 0.000 0.500 Pr
0.000 0.000 0.000 Pr
0.000 0.500 0.000 Ho
0.244 0.735 0.991 Te
0.244 0.735 0.489 Te
0.756 0.265 0.511 Te
0.745 0.736 0.491 Te
0.253 0.265 0.009 Te
0.756 0.265 0.009 Te
0.747 0.735 0.991 Te
0.255 0.264 0.509 Te
0.500 0.500 0.500 Tb
0.000 0.500 0.500 Tb
0.500 0.500 0.000 Tb
```

Below is B2C after structural relaxation, with properties calculated at the GGA-PBE level.

Values from the calculation:
Distance to the lowest polymorph of the same formula, meV/atom: 202
DFT formation energy, eV/atom: 0.387

```
B2C
1.0
1.377 4.247 -0.248
-1.377 4.247 -0.248
0.000 2.714 7.015
C B
4 8
Direct
0.509 0.509 0.873 C
0.835 0.835 0.688 C
0.143 0.143 0.533 C
0.974 0.974 0.512 C
0.017 0.017 0.968 B
0.269 0.269 0.326 B
0.655 0.655 0.657 B
0.476 0.476 0.357 B
0.907 0.907 0.231 B
0.720 0.720 0.188 B
0.123 0.123 0.143 B
0.374 0.374 0.775 B
```